HfZn2Pt6: optimized geometry, PBE-GGA.

a = 2.8776 Å, b = 7.6691 Å, c = 7.6691 Å
α = 121.44°, β = 90.00°, γ = 90.00°
Atoms (fractional coordinates):
Hf (0.5000, 0.1717, 0.1717)
Pt (0.0000, 0.8457, 0.8457)
Pt (0.5000, 0.5590, 0.9209)
Pt (0.0000, 0.9061, 0.2334)
Pt (0.0000, 0.2334, 0.9061)
Pt (0.5000, 0.9209, 0.5590)
Pt (0.5000, 0.5193, 0.5193)
Zn (0.0000, 0.5803, 0.2636)
Zn (0.0000, 0.2636, 0.5803)

- D(E_F) (states/eV per cell) = 4.92
- total energy (eV per atom) = -5.90
- energy of formation (eV per atom) = -0.48